The following is a PBE-GGA calculation of a geometry-optimized Ca3P structure, from Alexandria via LeMat-Bulk.

a = 7.6683 Å, b = 7.6683 Å, c = 7.6683 Å
α = 90.00°, β = 90.00°, γ = 90.00°
With the nearest neighbours (Å) after each atom.
Space group Fm-3m (No. 225)
Asymmetric unit:
Ca (0.0000, 0.0000, 0.0000) [4 per cell]  8 Ca 3.32
Ca (0.2500, 0.2500, 0.2500) [8 per cell]  4 Ca 3.32, 4 P 3.32
P (0.0000, 0.0000, 0.5000) [4 per cell]  8 Ca 3.32

Summary:
The offset from the most stable computed form is 0.578 eV per atom. The crystal system is cubic. The formation energy comes out at -0.052 eV/atom.


The following is a PBE-GGA calculation of a geometry-optimized Ca3P structure, from Alexandria via LeMat-Bulk.

a = 4.5685 Å, b = 4.5685 Å, c = 10.7128 Å
α = 90.00°, β = 90.00°, γ = 90.00°
With the nearest neighbours (Å) after each atom.
Space group I4/mmm (No. 139)
Asymmetric unit:
Ca (0.0000, 0.0000, 0.0000) [2 per cell]  4 P 3.23, 8 Ca 3.52
Ca (0.0000, 0.5000, 0.2500) [4 per cell]  8 Ca 3.23-3.52, 4 P 3.52
P (0.0000, 0.0000, 0.5000) [2 per cell]  12 Ca 3.23-3.52

Summary:
The offset from the most stable computed form is 0.380 eV per atom. The crystal system is tetragonal. The formation energy comes out at -0.250 eV/atom.


The following is a PBE-GGA calculation of a geometry-optimized Ca3P structure, from Alexandria via LeMat-Bulk.

a = 5.5869 Å, b = 5.5869 Å, c = 5.5869 Å
α = 90.00°, β = 90.00°, γ = 90.00°
With the nearest neighbours (Å) after each atom.
Space group Pm-3m (No. 221)
Asymmetric unit:
Ca (0.0000, 0.0000, 0.5000) [3 per cell]  2 P 2.79
P (0.0000, 0.0000, 0.0000) [1 per cell]  6 Ca 2.79

Summary:
The offset from the most stable computed form is 0.212 eV per atom. The crystal system is cubic. The formation energy comes out at -0.418 eV/atom.


The following is a PBE-GGA calculation of a geometry-optimized CaP3 structure, from Alexandria via LeMat-Bulk.

a = 3.4498 Å, b = 3.4498 Å, c = 7.3672 Å
α = 90.00°, β = 90.00°, γ = 120.00°
With the nearest neighbours (Å) after each atom.
Space group P-6m2 (No. 187)
Asymmetric unit:
Ca (0.0000, 0.0000, 0.0000) [1 per cell]  6 P 2.91
P (0.0000, 0.0000, 0.5000) [1 per cell]  6 P 2.53
P (0.6667, 0.3333, 0.2888) [2 per cell]  3 P 2.53

Summary:
The crystal system is hexagonal. The formation energy comes out at 0.018 eV/atom.


The following is a PBE-GGA calculation of a geometry-optimized Ca2P structure, from Alexandria via LeMat-Bulk.

a = 4.7465 Å, b = 4.7465 Å, c = 3.7058 Å
α = 90.00°, β = 90.00°, γ = 90.00°
With the nearest neighbours (Å) after each atom.
Space group P4/mmm (No. 123)
Asymmetric unit:
Ca (0.0000, 0.5000, 0.0000) [2 per cell]  4 P 3.01, 4 Ca 3.36
P (0.0000, 0.0000, 0.5000) [1 per cell]  8 Ca 3.01

Summary:
The crystal system is tetragonal. The formation energy comes out at -0.752 eV/atom.


The following is a PBE-GGA calculation of a geometry-optimized Ca2P3 structure, from Alexandria via LeMat-Bulk.

a = 4.0923 Å, b = 4.0923 Å, c = 23.5391 Å
α = 90.00°, β = 90.00°, γ = 120.00°
With the nearest neighbours (Å) after each atom.
Space group R-3m (No. 166, hexagonal axes)
Asymmetric unit:
Ca (0.0000, 0.0000, 0.0969) [6 per cell]  6 P 2.88-3.19
P (0.0000, 0.0000, 0.3275) [6 per cell]  3 P 2.38
P (0.0000, 0.0000, 0.5000) [3 per cell]  6 Ca 2.88

Summary:
The offset from the most stable computed form is 0.022 eV per atom. The crystal system is trigonal. The formation energy comes out at -0.657 eV/atom.


The following is a PBE-GGA calculation of a geometry-optimized CaP3 structure, from Alexandria via LeMat-Bulk.

a = 3.7836 Å, b = 5.3157 Å, c = 7.3481 Å
α = 90.00°, β = 90.00°, γ = 90.00°
With the nearest neighbours (Å) after each atom.
Space group Cmmm (No. 65)
Asymmetric unit:
Ca (0.0000, 0.0000, 0.0000) [2 per cell]  4 P 2.82
P (0.0000, 0.0000, 0.5000) [2 per cell]  4 P 2.46
P (0.0000, 0.5000, 0.2853) [4 per cell]  2 P 2.46

Summary:
The crystal system is orthorhombic. The formation energy comes out at 0.176 eV/atom.


The following is a PBE-GGA calculation of a geometry-optimized CaP5 structure, from Alexandria via LeMat-Bulk.

a = 9.7162 Å, b = 3.3138 Å, c = 7.9364 Å
α = 90.00°, β = 111.41°, γ = 90.00°
With the nearest neighbours (Å) after each atom.
Space group Cm (No. 8)
Asymmetric unit:
Ca (0.0000, 0.0000, 0.0000) [2 per cell]  10 P 2.92-3.27
P (0.0909, 0.0000, 0.3960) [2 per cell]  5 P 2.26-2.42
P (0.1779, 0.5000, 0.8295) [2 per cell]  2 P 2.20
P (0.2246, 0.5000, 0.2941) [2 per cell]  4 P 2.39-2.42
P (0.2417, 0.0000, 0.6905) [2 per cell]  3 P 2.20-2.26
P (0.4011, 0.0000, 0.2927) [2 per cell]  4 P 2.39

Summary:
The crystal system is monoclinic. The formation energy comes out at -0.146 eV/atom.


The following is a PBE-GGA calculation of a geometry-optimized CaP3 structure, from Alexandria via LeMat-Bulk.

a = 3.9903 Å, b = 4.5008 Å, c = 4.4247 Å
α = 90.00°, β = 90.00°, γ = 90.00°
With the nearest neighbours (Å) after each atom.
Space group Pmm2 (No. 25)
Asymmetric unit:
Ca (0.0000, 0.0000, 0.0000) [1 per cell]  12 P 2.97-3.27
P (0.0000, 0.5000, 0.4641) [1 per cell]  2 P 2.28
P (0.5000, 0.0000, 0.5018) [1 per cell]  2 P 2.44
P (0.5000, 0.5000, 0.7148) [1 per cell]  4 P 2.28-2.44

Summary:
The crystal system is orthorhombic. The formation energy comes out at -0.289 eV/atom.


The following is a PBE-GGA calculation of a geometry-optimized CaP3 structure, from Alexandria via LeMat-Bulk.

a = 3.5750 Å, b = 3.5750 Å, c = 20.3555 Å
α = 90.00°, β = 90.00°, γ = 120.00°
With the nearest neighbours (Å) after each atom.
Space group R-3m (No. 166, hexagonal axes)
Asymmetric unit:
Ca (0.0000, 0.0000, 0.0000) [3 per cell]  6 P 2.92
P (0.0000, 0.0000, 0.2319) [6 per cell]  3 P 2.45
P (0.0000, 0.0000, 0.5000) [3 per cell]  6 P 2.45

Summary:
The crystal system is trigonal. The formation energy comes out at -0.229 eV/atom.


The following is a PBE-GGA calculation of a geometry-optimized CaP5 structure, from Alexandria via LeMat-Bulk.

a = 6.0527 Å, b = 6.0527 Å, c = 3.3984 Å
α = 90.00°, β = 90.00°, γ = 120.00°
With the nearest neighbours (Å) after each atom.
Space group P6/mmm (No. 191)
Asymmetric unit:
Ca (0.0000, 0.0000, 0.0000) [1 per cell]  2 Ca 3.40, 18 P 3.47-3.49
P (0.0000, 0.5000, 0.5000) [3 per cell]  4 P 2.44
P (0.3333, 0.6667, 0.0000) [2 per cell]  6 P 2.44

Summary:
The crystal system is hexagonal. The formation energy comes out at 0.103 eV/atom.


The following is a PBE-GGA calculation of a geometry-optimized CaP5 structure, from Alexandria via LeMat-Bulk.

a = 3.6645 Å, b = 3.6645 Å, c = 10.2293 Å
α = 90.00°, β = 90.00°, γ = 90.00°
With the nearest neighbours (Å) after each atom.
Space group P4/mmm (No. 123)
Asymmetric unit:
Ca (0.0000, 0.0000, 0.0000) [1 per cell]  8 P 2.80
P (0.0000, 0.0000, 0.3974) [2 per cell]  1 P 2.10
P (0.5000, 0.5000, 0.1036) [2 per cell]  1 P 2.12
P (0.5000, 0.5000, 0.5000) [1 per cell]  8 P 2.80

Summary:
The crystal system is tetragonal. The formation energy comes out at 0.178 eV/atom.


The following is a PBE-GGA calculation of a geometry-optimized Ca2P structure, from Alexandria via LeMat-Bulk.

a = 4.0276 Å, b = 12.4875 Å, c = 6.6020 Å
α = 90.00°, β = 90.00°, γ = 90.00°
With the nearest neighbours (Å) after each atom.
Space group Cmc2_1 (No. 36)
Asymmetric unit:
Ca (0.0000, 0.0041, 0.0000) [4 per cell]  4 P 2.95-3.00
Ca (0.0000, 0.2745, 0.1995) [4 per cell]  3 P 2.87-3.19
P (0.0000, 0.3855, 0.7636) [4 per cell]  7 Ca 2.87-3.19

Summary:
The crystal system is orthorhombic. The formation energy comes out at -0.851 eV/atom.


The following is a PBE-GGA calculation of a geometry-optimized CaP3 structure, from Alexandria via LeMat-Bulk.

a = 5.8541 Å, b = 5.8541 Å, c = 10.0387 Å
α = 90.00°, β = 90.00°, γ = 120.00°
With the nearest neighbours (Å) after each atom.
Space group P6_3/mmc (No. 194)
Asymmetric unit:
Ca (0.0000, 0.0000, 0.0000) [2 per cell]  12 P 2.93-3.25
Ca (0.3333, 0.6667, 0.2500) [2 per cell]  12 P 2.95-3.03
P (0.0000, 0.5000, 0.0000) [6 per cell]  8 P 2.93-2.94, 4 Ca 2.93-3.03
P (0.2037, 0.4075, 0.7500) [6 per cell]  2 P 2.28

Summary:
The crystal system is hexagonal. The formation energy comes out at -0.100 eV/atom.


The following is a PBE-GGA calculation of a geometry-optimized CaP4 structure, from Alexandria via LeMat-Bulk.

a = 5.1269 Å, b = 5.1269 Å, c = 5.1269 Å
α = 90.00°, β = 90.00°, γ = 90.00°
With the nearest neighbours (Å) after each atom.
Space group Pm-3m (No. 221)
Asymmetric unit:
Ca (0.0000, 0.0000, 0.0000) [1 per cell]  6 P 2.56
P (0.0000, 0.0000, 0.5000) [3 per cell]  2 Ca 2.56
P (0.5000, 0.5000, 0.5000) [1 per cell]  12 P 3.63

Summary:
The offset from the most stable computed form is 2.076 eV per atom. The crystal system is cubic. The formation energy comes out at 1.590 eV/atom.


The following is a PBE-GGA calculation of a geometry-optimized CaP7 structure, from Alexandria via LeMat-Bulk.

a = 8.0216 Å, b = 8.0216 Å, c = 8.0216 Å
α = 90.00°, β = 90.00°, γ = 90.00°
With the nearest neighbours (Å) after each atom.
Space group Fm-3m (No. 225)
Asymmetric unit:
Ca (0.0000, 0.0000, 0.0000) [4 per cell]  12 P 2.84
P (0.0000, 0.0000, 0.5000) [4 per cell]  12 P 2.84
P (0.0000, 0.2500, 0.2500) [24 per cell]  2 Ca 2.84, 10 P 2.84

Summary:
The crystal system is cubic. The formation energy comes out at 0.464 eV/atom.


The following is a PBE-GGA calculation of a geometry-optimized CaP3 structure, from Alexandria via LeMat-Bulk.

a = 6.2388 Å, b = 14.2477 Å, c = 5.0854 Å
α = 90.00°, β = 90.00°, γ = 90.00°
With the nearest neighbours (Å) after each atom.
Space group Cmcm (No. 63)
Asymmetric unit:
Ca (0.0000, 0.2042, 0.2500) [4 per cell]  7 P 2.91-3.10
P (0.0000, 0.0131, 0.7500) [4 per cell]  2 P 2.18
P (0.1798, 0.1444, 0.7500) [8 per cell]  2 P 2.18-2.24

Summary:
The crystal system is orthorhombic. The formation energy comes out at -0.403 eV/atom.


The following is a PBE-GGA calculation of a geometry-optimized Ca3P structure, from Alexandria via LeMat-Bulk.

a = 3.9446 Å, b = 6.8423 Å, c = 9.6039 Å
α = 90.00°, β = 90.00°, γ = 90.00°
With the nearest neighbours (Å) after each atom.
Space group Pmmn (No. 59, origin choice 2)
Asymmetric unit:
Ca (0.2500, 0.0114, 0.1751) [4 per cell]  2 P 2.93, 1 Ca 3.27
Ca (0.2500, 0.2500, 0.5367) [2 per cell]  2 P 2.84
P (0.2500, 0.7500, 0.6760) [2 per cell]  6 Ca 2.84-2.93

Summary:
The offset from the most stable computed form is 0.054 eV per atom. The crystal system is orthorhombic. The formation energy comes out at -0.576 eV/atom.


The following is a PBE-GGA calculation of a geometry-optimized Ca5P3 structure, from Alexandria via LeMat-Bulk.

a = 6.9658 Å, b = 15.4182 Å, c = 7.9625 Å
α = 90.00°, β = 105.17°, γ = 90.00°
With the nearest neighbours (Å) after each atom.
Space group C2/m (No. 12)
Asymmetric unit:
Ca (0.1904, 0.1908, 0.2087) [8 per cell]  5 P 2.84-3.16
Ca (0.2365, 0.5000, 0.9879) [4 per cell]  4 P 2.85-2.94
Ca (0.2428, 0.3894, 0.3848) [8 per cell]  5 P 2.87-3.17
P (0.0000, 0.2567, 0.5000) [4 per cell]  8 Ca 2.84-3.13
P (0.0000, 0.3431, 0.0000) [4 per cell]  8 Ca 2.94-3.17
P (0.0746, 0.0000, 0.2895) [4 per cell]  8 Ca 2.85-3.16

Summary:
The offset from the most stable computed form is 0.000 eV per atom. The crystal system is monoclinic. The formation energy comes out at -0.982 eV/atom.


The following is a PBE-GGA calculation of a geometry-optimized Ca3P structure, from Alexandria via LeMat-Bulk.

a = 7.4970 Å, b = 9.9127 Å, c = 6.6630 Å
α = 90.00°, β = 90.00°, γ = 90.00°
With the nearest neighbours (Å) after each atom.
Space group Pnma (No. 62)
Asymmetric unit:
Ca (0.0484, 0.2500, 0.1593) [4 per cell]  2 P 2.90-2.95
Ca (0.1738, 0.0704, 0.6763) [8 per cell]  2 P 2.92-2.95
P (0.1178, 0.7500, 0.4391) [4 per cell]  6 Ca 2.90-2.95

Summary:
The offset from the most stable computed form is 0.007 eV per atom. The crystal system is orthorhombic. The formation energy comes out at -0.624 eV/atom.